(1)
VASP calculation (PBE) on crystalline GaCo2Ru2 at its relaxed geometry.

Output
Excess energy over the best structure of this formula in the dataset in meV/atom: 49
Mass density in g/cm3: 9.5
Volume in A^3/atom: 13.64
D(E_F) in states/eV/atom: 1.291
DFT formation energy in eV per atom: 0.2947

Lattice parameters (Å, degrees): 7.047 7.047 2.747 90.00 90.00 90.00
Site moments in Bohr magnetons follow the coordinates.
Atoms (fractional coordinates):
Ru 0.369 0.869 0.000  0.30
Ru 0.869 0.631 0.000  0.30
Ru 0.631 0.131 0.000  0.30
Ru 0.131 0.369 0.000  0.30
Co 0.165 0.665 0.500  1.10
Co 0.665 0.835 0.500  1.10
Co 0.835 0.335 0.500  1.10
Co 0.335 0.165 0.500  1.10
Ga 0.000 0.000 0.000  0.00
Ga 0.500 0.500 0.000  0.00

(2)
VASP calculation (PBE) on crystalline SmTaO4 at its relaxed geometry.

Output
Mass density in g/cm3: 8.3
Volume in A^3/atom: 13.20
D(E_F) in states/eV/atom: 0.000
Energy relative to the elements, uncorrected in meV per atom: -3232

Lattice parameters (Å, degrees): 6.681 6.681 5.146 69.74 69.74 115.28
Atoms (fractional coordinates):
Sm 0.631 0.369 0.250
Sm 0.369 0.631 0.750
Ta 0.100 0.900 0.250
Ta 0.900 0.100 0.750
O 0.272 0.208 0.795
O 0.792 0.728 0.705
O 0.728 0.792 0.205
O 0.208 0.272 0.295
O 0.055 0.641 0.159
O 0.359 0.945 0.341
O 0.945 0.359 0.841
O 0.641 0.055 0.659

(3)
VASP calculation (PBE) on crystalline Li2AlTl2 at its relaxed geometry.

Output
Excess energy over the best structure of this formula in the dataset in meV/atom: 91
Mass density in g/cm3: 6.8
Volume in A^3/atom: 21.91
D(E_F) in states/eV/atom: 0.319
DFT formation energy in eV per atom: 0.0679

Lattice parameters (Å, degrees): 3.946 3.946 7.570 74.89 74.89 90.00
Atoms (fractional coordinates):
Tl 0.394 0.394 0.212
Tl 0.606 0.606 0.788
Al 0.000 0.000 0.000
Li 0.750 0.250 0.500
Li 0.250 0.750 0.500

- Number 1 is which compound?
  GaCo2Ru2

- Which of these has the highest volume?
  Li2AlTl2

- Which of these has the highest mass density?
  GaCo2Ru2